Record 1
5
Lattice="-3.075 1.372 2.903 1.833 -2.550 3.147 2.759 3.531 1.254" Properties=species:S:1:pos:R:3 comment="P2RuPtCl, optimized geometry, DFT PBEsol" e_form_raw_ev_per_atom=0.802 rho_g_cm3=7.1 spacegroup="No. 123" e_above_lowest_polymorph_ev_per_atom=0.0000 pbc="T T T"
Ru 0.000 0.000 0.000
P -1.537 0.686 1.452
P 0.917 -1.275 1.573
Pt 0.759 1.177 3.652
Cl 1.380 1.766 0.627

Record 2
5
Lattice="-2.502 -0.951 -3.338 -3.111 -1.638 2.799 -1.900 4.064 0.266" Properties=species:S:1:pos:R:3 comment="P2PtSCl, optimized geometry, DFT PBEsol" e_form_raw_ev_per_atom=1.043 rho_g_cm3=6.2 spacegroup="No. 123" pbc="T T T"
P -0.950 2.032 0.133
P -1.556 -0.819 1.399
Cl -1.251 -0.476 -1.669
Pt -3.756 0.737 -0.136
S 0.000 0.000 0.000

Record 3
5
Lattice="-3.662 1.900 2.334 0.839 -2.916 3.690 2.915 3.263 1.916" Properties=species:S:1:pos:R:3 comment="SnPPtCl2, optimized geometry, DFT PBEsol" e_form_raw_ev_per_atom=0.061 rho_g_cm3=6.4 spacegroup="No. 123" pbc="T T T"
Sn 0.046 1.124 3.970
Cl 1.458 1.632 0.958
Cl 0.419 -1.458 1.845
P -1.831 0.950 1.167
Pt 0.000 0.000 0.000

Record 4
5
Lattice="-2.380 0.429 3.775 3.636 -1.035 2.410 1.511 5.953 0.276" Properties=species:S:1:pos:R:3 comment="SrP2PtCl, optimized geometry, DFT PBEsol" e_form_raw_ev_per_atom=-0.414 rho_g_cm3=5.1 spacegroup="No. 123" pbc="T T T"
P 1.818 -0.517 1.205
P -1.190 0.215 1.887
Cl 0.756 2.976 0.138
Sr 1.384 2.674 3.230
Pt 0.000 0.000 0.000

Record 5
5
Lattice="-2.617 -3.105 2.007 0.043 -2.691 -4.108 4.008 -2.354 1.585" Properties=species:S:1:pos:R:3 comment="ZnPPtCl2, optimized geometry, DFT PBEsol" e_form_raw_ev_per_atom=0.271 rho_g_cm3=5.5 spacegroup="No. 123" pbc="T T T"
Cl 0.022 -1.346 -2.054
Cl 2.004 -1.177 0.792
P -1.309 -1.553 1.004
Pt 0.000 0.000 0.000
Zn 0.717 -4.075 -0.258

Record 6
5
Lattice="4.972 0.000 0.000 0.000 4.972 0.000 0.000 0.000 4.972" Properties=species:S:1:pos:R:3 comment="RbPCl3, optimized geometry, DFT PBEsol" e_form_raw_ev_per_atom=-0.910 rho_g_cm3=3.0 spacegroup="No. 221" pbc="T T T"
P 0.000 0.000 0.000
Cl 0.000 0.000 2.486
Cl 0.000 2.486 0.000
Cl 2.486 0.000 0.000
Rb 2.486 2.486 2.486